Compound: SmTmV2O8
Source: the Alexandria database
Functional: PBE+U
Structure: relaxed

Summary:
The calculation puts the total energy at -8.0432 eV per atom. Its symmetry is I-4m2 (119).

Unit cell a=6.0297 b=6.0297 c=6.0297 alpha=106.19 beta=106.19 gamma=116.25
With the nearest neighbours (Å) after each atom.
Sites, in units of the cell vectors:
Sm  0.2500  0.7500  0.5000  8 O 2.35-2.49
Tm  0.0000  0.0000  0.0000  8 O 2.32-2.43
V  0.7500  0.2500  0.5000  4 O 1.74
V  0.5000  0.5000  0.0000  4 O 1.74
O  0.3909  0.0782  0.3126  1 V 1.74
O  0.3208  0.5017  0.1809  1 V 1.74
O  0.3208  0.1400  0.8191  1 V 1.74
O  0.7656  0.0782  0.6874  1 V 1.74
O  0.8600  0.6792  0.1809  1 V 1.74
O  0.9218  0.2344  0.3126  1 V 1.74
O  0.9218  0.6091  0.6874  1 V 1.74
O  0.4983  0.6792  0.8191  1 V 1.74